NaErBi2: relaxed, PBE.

abc: 4.2661 5.1780 5.1780
angles: 90.00 90.00 90.00
Fractional coordinates of all 4 atoms:
Bi (0.0000, 0.0000, 0.5000)
Bi (0.0000, 0.5000, 0.0000)
Er (0.5000, 0.5000, 0.5000)
Na (0.5000, 0.0000, 0.0000)

Output
* space group: P4/mmm (123)
* relative energy among the computed polymorphs: 38.6 meV per atom
* energy of formation from the pure elements: -0.43 eV per atom
* D(E_F): 2.3 states/eV/cell